Entry 1:
A plane-wave DFT calculation with PBE was carried out for a relaxed structure of SmSc2Ag.

As for the space group: Fm-3m. The calculation puts the polymorph energy (0 for the lowest one) at 192 meV/atom. Its crystal system is cubic. The total DFT energy (no corrections) comes out at -19.82 eV per cell. As for the formation energy: 104 meV/atom.

Cell and atoms, written as POSCAR:
```
SmSc2Ag
1.0
5.115 0.000 0.000
2.557 4.429 0.000
2.557 1.476 4.179
Sc Ag Sm
2 1 1
Direct
0.750 0.750 0.749 Sc
0.250 0.250 0.251 Sc
0.500 0.500 0.500 Ag
0.000 0.000 0.000 Sm
```

***

Entry 2:
A plane-wave DFT calculation with PBE was carried out for a relaxed structure of CaTb2Pr9.

As for the space group: P4/mmm. Its crystal system is tetragonal. The total DFT energy (no corrections) comes out at -53.95 eV per cell. As for the formation energy: 28 meV/atom.

Cell and atoms, written as POSCAR:
```
CaTb2Pr9
1.0
-3.587 -3.377 -1.748
1.691 -3.569 3.424
-10.225 5.357 10.636
Ca Tb Pr
1 2 9
Direct
0.000 0.000 0.000 Ca
0.000 0.000 0.334 Tb
0.000 0.000 0.666 Tb
0.500 0.500 0.000 Pr
0.500 0.500 0.335 Pr
0.500 0.500 0.665 Pr
0.500 0.000 0.172 Pr
0.500 0.000 0.500 Pr
0.500 0.000 0.828 Pr
0.000 0.500 0.172 Pr
0.000 0.500 0.500 Pr
0.000 0.500 0.828 Pr
```

***

Entry 3:
A plane-wave DFT calculation with PBE was carried out for a relaxed structure of Li3Ag6Pd2.

As for the space group: P-1. The calculation puts the polymorph energy (0 for the lowest one) at 0 meV/atom. Its crystal system is triclinic. The total DFT energy (no corrections) comes out at -35.43 eV per cell. As for the formation energy: -199 meV/atom.

Cell and atoms, written as POSCAR:
```
Li3Ag6Pd2
1.0
4.363 0.233 2.305
0.383 3.134 2.495
4.365 3.369 17.906
Li Ag Pd
3 6 2
Direct
0.000 0.000 0.000 Li
0.840 0.832 0.357 Li
0.160 0.168 0.643 Li
0.093 0.103 0.815 Ag
0.539 0.551 0.908 Ag
0.907 0.897 0.185 Ag
0.461 0.449 0.092 Ag
0.726 0.730 0.545 Ag
0.274 0.270 0.455 Ag
0.363 0.359 0.274 Pd
0.637 0.641 0.726 Pd
```